(1)
! LiHfPaMo | Alexandria | GGA-PBE | optimized geometry; values from VASP
&SYSTEM
  ibrav = 0, nat = 4, ntyp = 4
/
ATOMIC_SPECIES
Mo 95.94 Mo.upf
Pa 231.04 Pa.upf
Hf 178.49 Hf.upf
Li 6.94 Li.upf
CELL_PARAMETERS angstrom
4.8004 0.0000 0.0000
2.4002 4.1573 0.0000
2.4002 1.3858 3.9195
ATOMIC_POSITIONS crystal
Mo 0.5000 0.5000 0.5000
Pa 0.7500 0.7500 0.7500
Hf 0.2500 0.2500 0.2500
Li 0.0000 0.0000 0.0000
! E_form	0.6	eV per formula unit

***

(2)
! LiHfSbMo2 | Alexandria | GGA-PBE | optimized geometry; values from VASP
&SYSTEM
  ibrav = 0, nat = 5, ntyp = 4
/
ATOMIC_SPECIES
Sb 121.76 Sb.upf
Mo 95.94 Mo.upf
Hf 178.49 Hf.upf
Li 6.94 Li.upf
CELL_PARAMETERS angstrom
-2.7940 3.4162 -2.2976
-2.9060 -3.0321 -0.9746
-2.3880 0.9171 4.2675
ATOMIC_POSITIONS crystal
Sb 0.0000 0.0000 0.0000
Mo 0.0000 0.0000 0.5000
Mo 0.5000 0.0000 0.0000
Hf 0.5000 0.5000 0.5000
Li 0.0000 0.5000 0.0000
! raw formation energy	1092	meV per atom

***

(3)
! LiHfScMo | Alexandria | GGA-PBE | optimized geometry; values from VASP
&SYSTEM
  ibrav = 0, nat = 4, ntyp = 4
/
ATOMIC_SPECIES
Sc 44.96 Sc.upf
Mo 95.94 Mo.upf
Hf 178.49 Hf.upf
Li 6.94 Li.upf
CELL_PARAMETERS angstrom
4.6938 0.0000 0.0000
2.3469 4.0650 0.0000
2.3469 1.3550 3.8325
ATOMIC_POSITIONS crystal
Sc 0.2500 0.2500 0.2500
Mo 0.5000 0.5000 0.5000
Hf 0.7500 0.7500 0.7500
Li 0.0000 0.0000 0.0000
! E_form	0.4	eV per formula unit

***

(4)
! LiHfZrMo2 | Alexandria | GGA-PBE | optimized geometry; values from VASP
&SYSTEM
  ibrav = 0, nat = 5, ntyp = 4
/
ATOMIC_SPECIES
Mo 95.94 Mo.upf
Hf 178.49 Hf.upf
Zr 91.22 Zr.upf
Li 6.94 Li.upf
CELL_PARAMETERS angstrom
-0.4683 -4.2627 1.1990
2.4147 -1.2836 -3.6205
3.7406 0.2644 2.4011
ATOMIC_POSITIONS crystal
Mo 0.0000 0.0000 0.5000
Mo 0.5000 0.0000 0.0000
Hf 0.0000 0.5000 0.0000
Zr 0.5000 0.5000 0.5000
Li 0.0000 0.0000 0.0000
! E_form	4.9	eV per formula unit

***

(5)
! LiHf2N | Alexandria | GGA-PBE | optimized geometry; values from VASP
&SYSTEM
  ibrav = 0, nat = 8, ntyp = 3
/
ATOMIC_SPECIES
Li 6.94 Li.upf
Hf 178.49 Hf.upf
N 14.01 N.upf
CELL_PARAMETERS angstrom
8.1693 0.0000 0.0000
0.0000 8.1693 0.0000
4.0846 4.0846 1.8326
ATOMIC_POSITIONS crystal
Li 0.5000 0.5000 0.0000
Li 0.2500 0.7500 0.5000
Hf 0.7817 0.1250 0.2500
Hf 0.9683 0.6250 0.2500
Hf 0.3750 0.2183 0.7500
Hf 0.8750 0.0317 0.7500
N 0.0000 0.0000 0.0000
N 0.7500 0.2500 0.5000
! raw formation energy	-519	meV per atom

***

(6)
! Li3HfN | Alexandria | GGA-PBE | optimized geometry; values from VASP
&SYSTEM
  ibrav = 0, nat = 5, ntyp = 3
/
ATOMIC_SPECIES
Li 6.94 Li.upf
Hf 178.49 Hf.upf
N 14.01 N.upf
CELL_PARAMETERS angstrom
-0.9471 3.2944 -2.0827
-3.8418 -1.1501 -0.0721
-0.6565 1.9778 3.4271
ATOMIC_POSITIONS crystal
Li 0.0000 0.5000 0.0000
Li 0.0000 0.0000 0.5000
Li 0.5000 0.0000 0.0000
Hf 0.5000 0.5000 0.5000
N 0.0000 0.0000 0.0000
! raw formation energy	428	meV per atom
! energy above the most stable polymorph in this dataset	0	meV/atom

***

(7)
! LiHfN2 | Alexandria | GGA-PBE | optimized geometry; values from VASP
&SYSTEM
  ibrav = 0, nat = 4, ntyp = 3
/
ATOMIC_SPECIES
Li 6.94 Li.upf
Hf 178.49 Hf.upf
N 14.01 N.upf
CELL_PARAMETERS angstrom
-1.0660 -2.8271 1.1129
-1.0616 -2.2415 -2.0533
4.1344 -3.6564 -0.6704
ATOMIC_POSITIONS crystal
Li 0.4902 0.4902 0.5294
Hf 0.6696 0.6696 0.9912
N 0.0762 0.0762 0.7714
N 0.2640 0.2640 0.2080
! raw formation energy	-886	meV per atom
! energy above the most stable polymorph in this dataset	0	meV/atom

***

(8)
! Li2HfN2 | Alexandria | GGA-PBE | optimized geometry; values from VASP
&SYSTEM
  ibrav = 0, nat = 5, ntyp = 3
/
ATOMIC_SPECIES
Li 6.94 Li.upf
Hf 178.49 Hf.upf
N 14.01 N.upf
CELL_PARAMETERS angstrom
3.2575 0.0000 0.0000
-1.6288 2.8211 0.0000
0.0000 0.0000 5.4660
ATOMIC_POSITIONS crystal
Li 0.3333 0.6667 0.6174
Li 0.6667 0.3333 0.3826
Hf 0.0000 0.0000 0.0000
N 0.3333 0.6667 0.2203
N 0.6667 0.3333 0.7797
! raw formation energy	-1202	meV per atom